The following is a PBE-GGA calculation of a relaxed structure of RbInSbSe3, from the Alexandria database.

a = 4.7850 Å, b = 9.0418 Å, c = 10.3659 Å
α = 103.38°, β = 90.00°, γ = 90.00°
Closest atoms and distances in Å follow each position.
Fractional positions:
Se 0.2500 0.5685 0.8717  1 Sb 2.58
In 0.7500 0.8802 0.4037  4 Se 2.68-2.81
Se 0.2500 0.1456 0.8587  1 In 2.68, 2 Sb 2.98
Se 0.2500 0.8034 0.4922  3 In 2.71-2.81
Rb 0.7500 0.8197 0.7891  7 Se 3.54-3.87
Rb 0.2500 0.1803 0.2109  7 Se 3.54-3.87
Se 0.7500 0.4315 0.1283  1 Sb 2.58
Se 0.7500 0.1966 0.5078  3 In 2.71-2.81
Se 0.7500 0.8544 0.1413  1 In 2.68, 2 Sb 2.98
Sb 0.2500 0.6548 0.1270  1 Se 2.58
In 0.2500 0.1198 0.5963  4 Se 2.68-2.81
Sb 0.7500 0.3452 0.8730  1 Se 2.58

## Properties
DOS at the Fermi energy (states/eV/atom): 0.25
Total energy (eV per atom): -3.6023
ΔE_f (raw) (eV/atom): -0.5553
M_tot (μB per formula unit): 0.00